DFT (GGA-PBE) results for an optimized crystal structure of Dy2MnPt9.

POSCAR file:
```
Dy2MnPt9
1.0
-0.616 -0.686 3.963
-2.085 -3.374 -0.908
10.249 -6.462 0.473
Pt Dy Mn
9 2 1
direct
0.000 0.500 0.845
0.500 0.500 0.327
0.500 0.000 0.500
0.000 0.500 0.500
0.500 0.000 0.845
0.500 0.500 0.673
0.000 0.500 0.155
0.500 0.500 0.000
0.500 0.000 0.155
0.000 0.000 0.671
0.000 0.000 0.329
0.000 0.000 0.000
```

Output
formation enthalpy at 0 K: -0.7892 eV per atom
spin magnetization: 4.14 μB/f.u.
final energy: -82.2 eV for the cell shown
N(E_F): 12.6 states/eV/cell


DFT (GGA-PBE) results for an optimized crystal structure of DyMnPtRh.

POSCAR file:
```
DyMnPtRh
1.0
-0.953 0.635 4.503
-4.381 0.721 1.368
-2.260 -3.287 2.382
Mn Pt Dy Rh
1 1 1 1
direct
0.000 0.000 0.000
0.750 0.750 0.750
0.500 0.500 0.500
0.250 0.250 0.250
```

Output
formation enthalpy at 0 K: -0.6086 eV per atom
spin magnetization: 4.60 μB/f.u.
final energy: -29.6 eV for the cell shown
N(E_F): 2.5 states/eV/cell


DFT (GGA-PBE) results for an optimized crystal structure of Dy2MnSi4Pt3.

POSCAR file:
```
Dy2MnSi4Pt3
1.0
-1.015 2.961 2.656
-1.957 -2.758 2.327
8.567 -1.708 5.180
Si Dy Pt Mn
4 2 3 1
direct
0.500 0.500 0.000
0.500 0.000 0.635
0.000 0.000 0.000
0.000 0.500 0.365
0.000 0.500 0.749
0.500 0.000 0.251
0.500 0.000 0.873
0.000 0.500 0.127
0.000 0.000 0.500
0.500 0.500 0.500
```

Output
spin magnetization: 2.77 μB/f.u.
final energy: -68.0 eV for the cell shown
N(E_F): 5.3 states/eV/cell
raw formation energy: -0.980 eV/atom


DFT (GGA-PBE) results for an optimized crystal structure of Dy2MnSi3Pt4.

POSCAR file:
```
Dy2MnSi3Pt4
1.0
4.154 0.000 0.000
0.000 4.154 0.000
0.000 0.000 10.202
Dy Pt Mn Si
2 4 1 3
direct
0.000 0.500 0.748
0.500 0.000 0.252
0.000 0.000 0.000
0.500 0.500 0.000
0.500 0.000 0.638
0.000 0.500 0.362
0.500 0.500 0.500
0.000 0.500 0.133
0.000 0.000 0.500
0.500 0.000 0.867
```

Output
spin magnetization: 3.37 μB/f.u.
final energy: -68.6 eV for the cell shown
N(E_F): 7.5 states/eV/cell
raw formation energy: -0.983 eV/atom


DFT (GGA-PBE) results for an optimized crystal structure of DyPu2Mn.

POSCAR file:
```
DyPu2Mn
1.0
-0.742 -0.700 4.581
1.779 -3.794 2.112
4.540 1.065 3.303
Mn Pu Dy
1 2 1
direct
0.000 0.000 0.000
0.722 0.722 0.833
0.278 0.278 0.167
0.500 0.500 0.500
```

Output
formation enthalpy at 0 K: 0.3274 eV per atom
spin magnetization: 9.59 μB/f.u.
final energy: -41.1 eV for the cell shown
N(E_F): 11.8 states/eV/cell


DFT (GGA-PBE) results for an optimized crystal structure of DyPu2Mn3.

POSCAR file:
```
DyPu2Mn3
1.0
5.716 0.000 0.000
0.000 7.824 0.000
-2.858 -3.912 4.952
Dy Mn Pu
2 6 4
direct
0.500 0.750 0.500
0.500 0.250 0.500
0.500 0.750 0.000
0.000 0.750 0.000
0.000 0.250 0.000
0.000 0.000 0.500
0.000 0.500 0.500
0.500 0.250 0.000
0.167 0.417 0.833
0.833 0.583 0.167
0.166 0.917 0.833
0.834 0.083 0.167
```

Output
formation enthalpy at 0 K: 0.0632 eV per atom
spin magnetization: 4.57 μB/f.u.
final energy: -120.8 eV for the cell shown
N(E_F): 16.8 states/eV/cell